Entry 1:
Compound: YInSbO6
Source: the Alexandria database
Functional: PBE-GGA
Structure: relaxed

Properties
The value obtained for the formation energy (no corrections) is -1.88 eV/atom. Its magnetic moment is 1.945 Bohr magnetons per cell.

Structure (CIF):
```
data_YInSbO6
_chemical_formula_sum 'Y2 In2 Sb2 O12'
_symmetry_space_group_name_H-M 'P 42 n m'
_symmetry_Int_Tables_number 102
_symmetry_space_group_name_Hall 'P 4n -2n'
_cell_length_a 4.993
_cell_length_b 4.993
_cell_length_c 10.016
_cell_angle_alpha 90.00
_cell_angle_beta 90.00
_cell_angle_gamma 90.00
loop_
_atom_site_label
_atom_site_type_symbol
_atom_site_fract_x
_atom_site_fract_y
_atom_site_fract_z
_atom_site_occupancy
Y1 Y 0.000 0.000 0.000 1
In1 In 0.000 0.000 0.334 1
Sb1 Sb 0.000 0.000 0.666 1
O1 O 0.183 0.183 0.513 1
O2 O 0.191 0.191 0.815 1
O3 O 0.215 0.215 0.171 1
```

Entry 2:
Compound: ZrInSbO6
Source: the Alexandria database
Functional: PBE-GGA
Structure: relaxed

Properties
The value obtained for the formation energy (no corrections) is -2.01 eV/atom. Its magnetic moment is 0.000 Bohr magnetons per cell.

Structure (CIF):
```
data_ZrInSbO6
_chemical_formula_sum 'Zr2 In2 Sb2 O12'
_symmetry_space_group_name_H-M 'P -3 1 c'
_symmetry_Int_Tables_number 163
_symmetry_space_group_name_Hall '-P 3 2c'
_cell_length_a 5.4085
_cell_length_b 5.4085
_cell_length_c 9.2197
_cell_angle_alpha 90.00
_cell_angle_beta 90.00
_cell_angle_gamma 120.00
loop_
_atom_site_label
_atom_site_type_symbol
_atom_site_fract_x
_atom_site_fract_y
_atom_site_fract_z
_atom_site_occupancy
Zr1 Zr 0.3333 0.6667 0.2500 1
In1 In 0.0000 0.0000 0.0000 1
Sb1 Sb 0.3333 0.6667 0.7500 1
O1 O 0.0153 0.3558 0.6323 1
```

Entry 3:
Compound: ScIn2O4
Source: the Alexandria database
Functional: PBE-GGA
Structure: relaxed

Properties
The value obtained for the formation energy (no corrections) is -1.97 eV/atom. Its magnetic moment is 0.000 Bohr magnetons per cell.

Structure (CIF):
```
data_ScIn2O4
_chemical_formula_sum 'Sc2 In4 O8'
_symmetry_space_group_name_H-M 'P b a m'
_symmetry_Int_Tables_number 55
_symmetry_space_group_name_Hall '-P 2 2ab'
_cell_length_a 5.823
_cell_length_b 9.820
_cell_length_c 3.416
_cell_angle_alpha 90.00
_cell_angle_beta 90.00
_cell_angle_gamma 90.00
loop_
_atom_site_label
_atom_site_type_symbol
_atom_site_fract_x
_atom_site_fract_y
_atom_site_fract_z
_atom_site_occupancy
Sc1 Sc 0.000 0.000 0.000 1
In1 In 0.001 0.332 0.500 1
O1 O 0.130 0.121 0.500 1
O2 O 0.210 0.375 0.000 1
```

Entry 4:
Compound: Sc12In3O5
Source: the Alexandria database
Functional: PBE-GGA
Structure: relaxed

Properties
The value obtained for the formation energy (no corrections) is -1.52 eV/atom. Its magnetic moment is 0.000 Bohr magnetons per cell.

Structure (CIF):
```
data_Sc12In3O5
_chemical_formula_sum 'Sc96 In24 O40'
_symmetry_space_group_name_H-M 'I a -3 d'
_symmetry_Int_Tables_number 230
_symmetry_space_group_name_Hall '-I 4bd 2c 3'
_cell_length_a 14.542
_cell_length_b 14.542
_cell_length_c 14.542
_cell_angle_alpha 90.00
_cell_angle_beta 90.00
_cell_angle_gamma 90.00
loop_
_atom_site_label
_atom_site_type_symbol
_atom_site_fract_x
_atom_site_fract_y
_atom_site_fract_z
_atom_site_occupancy
Sc1 Sc 0.042 0.048 0.646 1
In1 In 0.000 0.250 0.125 1
O1 O 0.000 0.000 0.000 1
O2 O 0.000 0.250 0.375 1
```

Entry 5:
Compound: Sc4In2O9
Source: the Alexandria database
Functional: PBE-GGA
Structure: relaxed

Properties
The value obtained for the formation energy (no corrections) is -2.84 eV/atom. Its magnetic moment is 0.000 Bohr magnetons per cell.

Structure (CIF):
```
data_Sc4In2O9
_chemical_formula_sum 'Sc8 In4 O18'
_symmetry_space_group_name_H-M 'P -3 c 1'
_symmetry_Int_Tables_number 165
_symmetry_space_group_name_Hall '-P 3 2"c'
_cell_length_a 5.4303
_cell_length_b 5.4303
_cell_length_c 14.5761
_cell_angle_alpha 90.00
_cell_angle_beta 90.00
_cell_angle_gamma 120.00
loop_
_atom_site_label
_atom_site_type_symbol
_atom_site_fract_x
_atom_site_fract_y
_atom_site_fract_z
_atom_site_occupancy
Sc1 Sc 0.3333 0.6667 0.0220 1
Sc2 Sc 0.3333 0.6667 0.3117 1
In1 In 0.0000 0.0000 0.1424 1
O1 O 0.0000 0.3087 0.2500 1
O2 O 0.0336 0.3776 0.9178 1
```

Entry 6:
Compound: Sc2In2O
Source: the Alexandria database
Functional: PBE-GGA
Structure: relaxed

Properties
The value obtained for the formation energy (no corrections) is 0.31 eV/atom. Its magnetic moment is 0.000 Bohr magnetons per cell.

Structure (CIF):
```
data_Sc2In2O
_chemical_formula_sum 'Sc4 In4 O2'
_symmetry_space_group_name_H-M 'I 4/m m m'
_symmetry_Int_Tables_number 139
_symmetry_space_group_name_Hall '-I 4 2'
_cell_length_a 3.751
_cell_length_b 3.751
_cell_length_c 15.981
_cell_angle_alpha 90.00
_cell_angle_beta 90.00
_cell_angle_gamma 90.00
loop_
_atom_site_label
_atom_site_type_symbol
_atom_site_fract_x
_atom_site_fract_y
_atom_site_fract_z
_atom_site_occupancy
Sc1 Sc 0.000 0.500 0.250 1
In1 In 0.000 0.000 0.085 1
O1 O 0.000 0.000 0.500 1
```

Entry 7:
Compound: Sc2In2O
Source: the Alexandria database
Functional: PBE-GGA
Structure: relaxed

Properties
The value obtained for the formation energy (no corrections) is -0.30 eV/atom. Its magnetic moment is 0.000 Bohr magnetons per cell.

Structure (CIF):
```
data_Sc2In2O
_chemical_formula_sum 'Sc4 In4 O2'
_symmetry_space_group_name_H-M 'P 4/m b m'
_symmetry_Int_Tables_number 127
_symmetry_space_group_name_Hall '-P 4 2ab'
_cell_length_a 6.688
_cell_length_b 6.688
_cell_length_c 4.716
_cell_angle_alpha 90.00
_cell_angle_beta 90.00
_cell_angle_gamma 90.00
loop_
_atom_site_label
_atom_site_type_symbol
_atom_site_fract_x
_atom_site_fract_y
_atom_site_fract_z
_atom_site_occupancy
Sc1 Sc 0.154 0.346 0.000 1
In1 In 0.158 0.658 0.500 1
O1 O 0.000 0.000 0.500 1
```

Entry 8:
Compound: ScInO3
Source: the Alexandria database
Functional: PBE-GGA
Structure: relaxed

Properties
The value obtained for the formation energy (no corrections) is -2.31 eV/atom. Its magnetic moment is 0.000 Bohr magnetons per cell.

Structure (CIF):
```
data_ScInO3
_chemical_formula_sum 'Sc1 In1 O3'
_symmetry_space_group_name_H-M 'P -6 m 2'
_symmetry_Int_Tables_number 187
_symmetry_space_group_name_Hall 'P -6 2'
_cell_length_a 5.6456
_cell_length_b 5.6456
_cell_length_c 2.8875
_cell_angle_alpha 90.00
_cell_angle_beta 90.00
_cell_angle_gamma 120.00
loop_
_atom_site_label
_atom_site_type_symbol
_atom_site_fract_x
_atom_site_fract_y
_atom_site_fract_z
_atom_site_occupancy
Sc1 Sc 0.0000 0.0000 0.0000 1
In1 In 0.3333 0.6667 0.0000 1
O1 O 0.1621 0.3241 0.5000 1
```

Entry 9:
Compound: ScInO3
Source: the Alexandria database
Functional: PBE-GGA
Structure: relaxed

Properties
The value obtained for the formation energy (no corrections) is -2.52 eV/atom. Its magnetic moment is 0.000 Bohr magnetons per cell.

Structure (CIF):
```
data_ScInO3
_chemical_formula_sum 'Sc6 In6 O18'
_symmetry_space_group_name_H-M 'R -3'
_symmetry_Int_Tables_number 148
_symmetry_space_group_name_Hall '-R 3'
_cell_length_a 5.4724
_cell_length_b 5.4724
_cell_length_c 14.5832
_cell_angle_alpha 90.00
_cell_angle_beta 90.00
_cell_angle_gamma 120.00
loop_
_atom_site_label
_atom_site_type_symbol
_atom_site_fract_x
_atom_site_fract_y
_atom_site_fract_z
_atom_site_occupancy
Sc1 Sc 0.0000 0.0000 0.1455 1
In1 In 0.0000 0.0000 0.3580 1
O1 O 0.0092 0.3035 0.7523 1
```

Entry 10:
Compound: ScInO3
Source: the Alexandria database
Functional: PBE-GGA
Structure: relaxed

Properties
The value obtained for the formation energy (no corrections) is -1.42 eV/atom. Its magnetic moment is 0.000 Bohr magnetons per cell.

Structure (CIF):
```
data_ScInO3
_chemical_formula_sum 'Sc1 In1 O3'
_symmetry_space_group_name_H-M 'P m -3 m'
_symmetry_Int_Tables_number 221
_symmetry_space_group_name_Hall '-P 4 2 3'
_cell_length_a 4.065
_cell_length_b 4.065
_cell_length_c 4.065
_cell_angle_alpha 90.00
_cell_angle_beta 90.00
_cell_angle_gamma 90.00
loop_
_atom_site_label
_atom_site_type_symbol
_atom_site_fract_x
_atom_site_fract_y
_atom_site_fract_z
_atom_site_occupancy
Sc1 Sc 0.000 0.000 0.000 1
In1 In 0.500 0.500 0.500 1
O1 O 0.000 0.500 0.500 1
```

Entry 11:
Compound: ScInO2
Source: the Alexandria database
Functional: PBE-GGA
Structure: relaxed

Properties
The value obtained for the formation energy (no corrections) is -2.22 eV/atom. Its magnetic moment is 0.000 Bohr magnetons per cell.

Structure (CIF):
```
data_ScInO2
_chemical_formula_sum 'Sc4 In4 O8'
_symmetry_space_group_name_H-M 'I -4 2 d'
_symmetry_Int_Tables_number 122
_symmetry_space_group_name_Hall 'I -4 2bw'
_cell_length_a 5.744
_cell_length_b 5.744
_cell_length_c 9.074
_cell_angle_alpha 90.00
_cell_angle_beta 90.00
_cell_angle_gamma 90.00
loop_
_atom_site_label
_atom_site_type_symbol
_atom_site_fract_x
_atom_site_fract_y
_atom_site_fract_z
_atom_site_occupancy
Sc1 Sc 0.000 0.000 0.000 1
In1 In 0.000 0.000 0.500 1
O1 O 0.139 0.250 0.125 1
```

Entry 12:
Compound: Sc2InO
Source: the Alexandria database
Functional: PBE-GGA
Structure: relaxed

Properties
The value obtained for the formation energy (no corrections) is -1.18 eV/atom. Its magnetic moment is 1.276 Bohr magnetons per cell.

Structure (CIF):
```
data_Sc2InO
_chemical_formula_sum 'Sc2 In1 O1'
_symmetry_space_group_name_H-M 'P 4/m m m'
_symmetry_Int_Tables_number 123
_symmetry_space_group_name_Hall '-P 4 2'
_cell_length_a 2.935
_cell_length_b 2.935
_cell_length_c 7.540
_cell_angle_alpha 90.00
_cell_angle_beta 90.00
_cell_angle_gamma 90.00
loop_
_atom_site_label
_atom_site_type_symbol
_atom_site_fract_x
_atom_site_fract_y
_atom_site_fract_z
_atom_site_occupancy
Sc1 Sc 0.000 0.000 0.188 1
In1 In 0.500 0.500 0.500 1
O1 O 0.500 0.500 0.000 1
```

Entry 13:
Compound: Sc2InO4
Source: the Alexandria database
Functional: PBE-GGA
Structure: relaxed

Properties
The value obtained for the formation energy (no corrections) is -2.56 eV/atom. Its magnetic moment is 0.000 Bohr magnetons per cell.

Structure (CIF):
```
data_Sc2InO4
_chemical_formula_sum 'Sc4 In2 O8'
_symmetry_space_group_name_H-M 'P b a m'
_symmetry_Int_Tables_number 55
_symmetry_space_group_name_Hall '-P 2 2ab'
_cell_length_a 5.584
_cell_length_b 9.686
_cell_length_c 3.143
_cell_angle_alpha 90.00
_cell_angle_beta 90.00
_cell_angle_gamma 90.00
loop_
_atom_site_label
_atom_site_type_symbol
_atom_site_fract_x
_atom_site_fract_y
_atom_site_fract_z
_atom_site_occupancy
Sc1 Sc 0.052 0.171 0.000 1
In1 In 0.000 0.500 0.500 1
O1 O 0.163 0.719 0.500 1
O2 O 0.231 0.973 0.000 1
```

Entry 14:
Compound: Sc2InO
Source: the Alexandria database
Functional: PBE-GGA
Structure: relaxed

Properties
The value obtained for the formation energy (no corrections) is -1.71 eV/atom. Its magnetic moment is 0.000 Bohr magnetons per cell.

Structure (CIF):
```
data_Sc2InO
_chemical_formula_sum 'Sc4 In2 O2'
_symmetry_space_group_name_H-M 'P 1 21/m 1'
_symmetry_Int_Tables_number 11
_symmetry_space_group_name_Hall '-P 2yb'
_cell_length_a 4.222
_cell_length_b 4.295
_cell_length_c 8.145
_cell_angle_alpha 90.00
_cell_angle_beta 104.98
_cell_angle_gamma 90.00
loop_
_atom_site_label
_atom_site_type_symbol
_atom_site_fract_x
_atom_site_fract_y
_atom_site_fract_z
_atom_site_occupancy
Sc1 Sc 0.085 0.250 0.169 1
Sc2 Sc 0.248 0.750 0.497 1
In1 In 0.421 0.250 0.844 1
O1 O 0.218 0.250 0.435 1
```

Entry 15:
Compound: ScInO6
Source: the Alexandria database
Functional: PBE-GGA
Structure: relaxed

Properties
The value obtained for the formation energy (no corrections) is -1.10 eV/atom. Its magnetic moment is 0.000 Bohr magnetons per cell.

Structure (CIF):
```
data_ScInO6
_chemical_formula_sum 'Sc4 In4 O24'
_symmetry_space_group_name_H-M 'C 1 2/m 1'
_symmetry_Int_Tables_number 12
_symmetry_space_group_name_Hall '-C 2y'
_cell_length_a 10.137
_cell_length_b 7.262
_cell_length_c 7.270
_cell_angle_alpha 90.00
_cell_angle_beta 133.97
_cell_angle_gamma 90.00
loop_
_atom_site_label
_atom_site_type_symbol
_atom_site_fract_x
_atom_site_fract_y
_atom_site_fract_z
_atom_site_occupancy
Sc1 Sc 0.250 0.250 0.000 1
In1 In 0.250 0.250 0.500 1
O1 O 0.010 0.101 0.692 1
O2 O 0.100 0.319 0.095 1
O3 O 0.164 0.500 0.571 1
O4 O 0.194 0.500 0.799 1
```

Entry 16:
Compound: ScIn2O
Source: the Alexandria database
Functional: PBE-GGA
Structure: relaxed

Properties
The value obtained for the formation energy (no corrections) is 0.10 eV/atom. Its magnetic moment is 0.011 Bohr magnetons per cell.

Structure (CIF):
```
data_ScIn2O
_chemical_formula_sum 'Sc4 In8 O4'
_symmetry_space_group_name_H-M 'F m -3 m'
_symmetry_Int_Tables_number 225
_symmetry_space_group_name_Hall '-F 4 2 3'
_cell_length_a 6.873
_cell_length_b 6.873
_cell_length_c 6.873
_cell_angle_alpha 90.00
_cell_angle_beta 90.00
_cell_angle_gamma 90.00
loop_
_atom_site_label
_atom_site_type_symbol
_atom_site_fract_x
_atom_site_fract_y
_atom_site_fract_z
_atom_site_occupancy
Sc1 Sc 0.000 0.000 0.000 1
In1 In 0.250 0.250 0.250 1
O1 O 0.000 0.000 0.500 1
```

Entry 17:
Compound: Sc2InO
Source: the Alexandria database
Functional: PBE-GGA
Structure: relaxed

Properties
The value obtained for the formation energy (no corrections) is -0.39 eV/atom. Its magnetic moment is 0.000 Bohr magnetons per cell.

Structure (CIF):
```
data_Sc2InO
_chemical_formula_sum 'Sc8 In4 O4'
_symmetry_space_group_name_H-M 'F m -3 m'
_symmetry_Int_Tables_number 225
_symmetry_space_group_name_Hall '-F 4 2 3'
_cell_length_a 6.724
_cell_length_b 6.724
_cell_length_c 6.724
_cell_angle_alpha 90.00
_cell_angle_beta 90.00
_cell_angle_gamma 90.00
loop_
_atom_site_label
_atom_site_type_symbol
_atom_site_fract_x
_atom_site_fract_y
_atom_site_fract_z
_atom_site_occupancy
Sc1 Sc 0.250 0.250 0.250 1
In1 In 0.000 0.000 0.000 1
O1 O 0.000 0.000 0.500 1
```

Entry 18:
Compound: Sc6In2O
Source: the Alexandria database
Functional: PBE-GGA
Structure: relaxed

Properties
The value obtained for the formation energy (no corrections) is -0.93 eV/atom. Its magnetic moment is 0.001 Bohr magnetons per cell.

Structure (CIF):
```
data_Sc6In2O
_chemical_formula_sum 'Sc12 In4 O2'
_symmetry_space_group_name_H-M 'I 4/m m m'
_symmetry_Int_Tables_number 139
_symmetry_space_group_name_Hall '-I 4 2'
_cell_length_a 6.374
_cell_length_b 6.374
_cell_length_c 9.005
_cell_angle_alpha 90.00
_cell_angle_beta 90.00
_cell_angle_gamma 90.00
loop_
_atom_site_label
_atom_site_type_symbol
_atom_site_fract_x
_atom_site_fract_y
_atom_site_fract_z
_atom_site_occupancy
Sc1 Sc 0.000 0.000 0.248 1
Sc2 Sc 0.247 0.247 0.000 1
In1 In 0.000 0.500 0.250 1
O1 O 0.000 0.000 0.000 1
```